A geometry-optimized Ca2YMo structure, computed with GGA-PBE.

a b c (Å): 3.363 5.427 12.778
angles (deg): 90.00 90.00 90.00
Space group Immm (No. 71)
Asymmetric unit:
Ca1 0.000 0.000 0.198
Y1 0.000 0.500 0.000
Mo1 0.000 0.500 0.500

## Properties
DFT formation energy: 0.590 eV per atom
magnetization: 0.41 μB/cell
uncorrected energy: -4.7350 eV/atom
polymorph energy (0 for the lowest one): 158 meV per atom